A plane-wave DFT calculation with GGA-PBE was carried out for a relaxed structure of CuRe2Os.

Values from the calculation:
Spin magnetization, μB/atom: 0.000
Final energy, eV/cell: -78.381
Polymorph energy (0 for the lowest one), eV/f.u.: 0.24
Energy of formation, eV per atom: 0.2579

```
data_CuRe2Os
_space_group_name_H-M_alt 'C 1 2/m 1'
_space_group_IT_number 12
_space_group_name_Hall '-C 2y'
_cell_length_a 9.159
_cell_length_b 2.738
_cell_length_c 4.647
_cell_angle_alpha 90.00
_cell_angle_beta 100.25
_cell_angle_gamma 90.00
loop_
_atom_site_label
_atom_site_type_symbol
_atom_site_fract_x
_atom_site_fract_y
_atom_site_fract_z
_atom_site_occupancy
Cu1 Cu 0.000 0.000 0.000 1
Re1 Re 0.242 0.000 0.743 1
Os1 Os 0.000 0.500 0.500 1
```

A plane-wave DFT calculation with GGA-PBE was carried out for a relaxed structure of Cs2Rb4SnBi2.

Values from the calculation:
Spin magnetization, μB/atom: 0.209
Final energy, eV/cell: -37.741
Energy of formation, eV per atom: -0.1698

```
data_Cs2Rb4SnBi2
_space_group_name_H-M_alt 'C 1 2/m 1'
_space_group_IT_number 12
_space_group_name_Hall '-C 2y'
_cell_length_a 17.248
_cell_length_b 9.630
_cell_length_c 6.177
_cell_angle_alpha 90.00
_cell_angle_beta 110.84
_cell_angle_gamma 90.00
loop_
_atom_site_label
_atom_site_type_symbol
_atom_site_fract_x
_atom_site_fract_y
_atom_site_fract_z
_atom_site_occupancy
Cs1 Cs 0.141 0.000 0.142 1
Rb1 Rb 0.130 0.299 0.631 1
Sn1 Sn 0.000 0.500 0.000 1
Bi1 Bi 0.204 0.500 0.204 1
```

A plane-wave DFT calculation with GGA-PBE was carried out for a relaxed structure of LaDySc4.

Values from the calculation:
Spin magnetization, μB/atom: 0.000
Final energy, eV/cell: -137.696
Energy of formation, eV per atom: 0.0720

```
data_LaDySc4
_space_group_name_H-M_alt 'C m c m'
_space_group_IT_number 63
_space_group_name_Hall '-C 2c 2'
_cell_length_a 6.578
_cell_length_b 18.638
_cell_length_c 5.378
_cell_angle_alpha 90.00
_cell_angle_beta 90.00
_cell_angle_gamma 90.00
loop_
_atom_site_label
_atom_site_type_symbol
_atom_site_fract_x
_atom_site_fract_y
_atom_site_fract_z
_atom_site_occupancy
La1 La 0.000 0.123 0.250 1
Dy1 Dy 0.000 0.373 0.750 1
Sc1 Sc 0.245 0.458 0.250 1
Sc2 Sc 0.249 0.292 0.250 1
```

A plane-wave DFT calculation with GGA-PBE was carried out for a relaxed structure of AlNCl3.

Values from the calculation:
Spin magnetization, μB/atom: 0.000
Formation energy (no corrections), eV per atom: 0.7238
Final energy, eV/cell: -13.989
Polymorph energy (0 for the lowest one), eV/f.u.: 4.39

```
data_AlNCl3
_space_group_name_H-M_alt 'P m -3 m'
_space_group_IT_number 221
_space_group_name_Hall '-P 4 2 3'
_cell_length_a 4.516
_cell_length_b 4.516
_cell_length_c 4.516
_cell_angle_alpha 90.00
_cell_angle_beta 90.00
_cell_angle_gamma 90.00
loop_
_atom_site_label
_atom_site_type_symbol
_atom_site_fract_x
_atom_site_fract_y
_atom_site_fract_z
_atom_site_occupancy
Al1 Al 0.000 0.000 0.000 1
N1 N 0.500 0.500 0.500 1
Cl1 Cl 0.000 0.500 0.500 1
```

A plane-wave DFT calculation with GGA-PBE was carried out for a relaxed structure of La4Cr.

Values from the calculation:
Spin magnetization, μB/atom: 0.045
Final energy, eV/cell: -49.357
Polymorph energy (0 for the lowest one), eV/f.u.: 3.65
Energy of formation, eV per atom: 0.9310

```
data_La4Cr
_space_group_name_H-M_alt 'I 4/m m m'
_space_group_IT_number 139
_space_group_name_Hall '-I 4 2'
_cell_length_a 4.068
_cell_length_b 4.068
_cell_length_c 20.028
_cell_angle_alpha 90.00
_cell_angle_beta 90.00
_cell_angle_gamma 90.00
loop_
_atom_site_label
_atom_site_type_symbol
_atom_site_fract_x
_atom_site_fract_y
_atom_site_fract_z
_atom_site_occupancy
La1 La 0.000 0.000 0.078 1
La2 La 0.000 0.500 0.250 1
Cr1 Cr 0.000 0.000 0.500 1
```

A plane-wave DFT calculation with GGA-PBE was carried out for a relaxed structure of Nd7Dy4Tm.

Values from the calculation:
Spin magnetization, μB/atom: 0.001
Final energy, eV/cell: -107.254
Polymorph energy (0 for the lowest one), eV/f.u.: 2.54
Energy of formation, eV per atom: 0.2190

```
data_Nd7Dy4Tm
_space_group_name_H-M_alt 'C 1 2/m 1'
_space_group_IT_number 12
_space_group_name_Hall '-C 2y'
_cell_length_a 16.210
_cell_length_b 6.005
_cell_length_c 9.405
_cell_angle_alpha 90.00
_cell_angle_beta 115.98
_cell_angle_gamma 90.00
loop_
_atom_site_label
_atom_site_type_symbol
_atom_site_fract_x
_atom_site_fract_y
_atom_site_fract_z
_atom_site_occupancy
Nd1 Nd 0.000 0.000 0.000 1
Nd2 Nd 0.083 0.500 0.443 1
Nd3 Nd 0.209 0.500 0.230 1
Nd4 Nd 0.209 0.500 0.880 1
Dy1 Dy 0.072 0.000 0.697 1
Dy2 Dy 0.173 0.000 0.389 1
Tm1 Tm 0.000 0.500 0.000 1
```

A plane-wave DFT calculation with GGA-PBE was carried out for a relaxed structure of Si2PIr.

Values from the calculation:
Spin magnetization, μB/atom: 0.000
Formation energy (no corrections), eV per atom: 0.3162
Final energy, eV/cell: -47.704
Polymorph energy (0 for the lowest one), eV/f.u.: 2.30

```
data_Si2PIr
_space_group_name_H-M_alt 'C m m 2'
_space_group_IT_number 35
_space_group_name_Hall 'C 2 -2'
_cell_length_a 2.730
_cell_length_b 4.879
_cell_length_c 8.963
_cell_angle_alpha 90.00
_cell_angle_beta 90.00
_cell_angle_gamma 90.00
loop_
_atom_site_label
_atom_site_type_symbol
_atom_site_fract_x
_atom_site_fract_y
_atom_site_fract_z
_atom_site_occupancy
Si1 Si 0.000 0.000 0.000 1
Si2 Si 0.000 0.500 0.246 1
P1 P 0.000 0.000 0.536 1
Ir1 Ir 0.000 0.500 0.765 1
```